(1)
The following is a PBE calculation of an optimized crystal structure of Tm2Ga8Pt, from Alexandria via LeMat-Bulk.

Cell: 4.3183 4.3183 11.0535 Å, 90.00 90.00 90.00°
Sites, in units of the cell vectors:
Tm (0.0000, 0.0000, 0.1894)
Tm (0.0000, 0.0000, 0.8106)
Ga (0.0000, 0.5000, 0.0000)
Ga (0.0000, 0.5000, 0.3715)
Ga (0.0000, 0.5000, 0.6285)
Ga (0.5000, 0.0000, 0.0000)
Ga (0.5000, 0.0000, 0.3715)
Ga (0.5000, 0.0000, 0.6285)
Ga (0.5000, 0.5000, 0.1934)
Ga (0.5000, 0.5000, 0.8066)
Pt (0.0000, 0.0000, 0.5000)

crystal system = tetragonal
volume = 206.1 Å³/cell
final energy = -4.10 eV per atom
symmetry = P4/mmm (123)
energy relative to the elements = -534.0 meV/atom



(2)
The following is a PBE calculation of an optimized crystal structure of Tm2Ga3Pt, from Alexandria via LeMat-Bulk.

Cell: 5.5546 5.5546 7.0083 Å, 127.82 127.82 46.79°
Sites, in units of the cell vectors:
Tm (0.0000, 0.0000, 0.0000)
Tm (0.0859, 0.0859, 0.5945)
Ga (0.3798, 0.3798, 0.1892)
Ga (0.3846, 0.3846, 0.5969)
Ga (0.7090, 0.7090, 0.3950)
Pt (0.7109, 0.7109, 0.0024)

crystal system = monoclinic
volume = 117.3 Å³/cell
final energy = -4.87 eV per atom
symmetry = Cm (8)
energy relative to the elements = -863.8 meV/atom



(3)
The following is a PBE calculation of an optimized crystal structure of TmGaPt, from Alexandria via LeMat-Bulk.

Cell: 6.7716 4.4159 7.6940 Å, 90.00 90.00 90.00°
Sites, in units of the cell vectors:
Tm (0.0154, 0.2500, 0.1983)
Tm (0.4846, 0.7500, 0.6983)
Tm (0.5154, 0.2500, 0.3017)
Tm (0.9846, 0.7500, 0.8017)
Ga (0.1722, 0.2500, 0.5735)
Ga (0.3278, 0.7500, 0.0735)
Ga (0.6722, 0.2500, 0.9265)
Ga (0.8278, 0.7500, 0.4265)
Pt (0.2293, 0.7500, 0.3997)
Pt (0.2707, 0.2500, 0.8997)
Pt (0.7293, 0.7500, 0.1003)
Pt (0.7707, 0.2500, 0.6003)

crystal system = orthorhombic
volume = 230.1 Å³/cell
final energy = -5.64 eV per atom
symmetry = Pnma (62)
energy relative to the elements = -1125.6 meV/atom



(4)
The following is a PBE calculation of an optimized crystal structure of TmGaPt, from Alexandria via LeMat-Bulk.

Cell: 4.5431 4.5431 4.5431 Å, 60.00 60.00 60.00°
Sites, in units of the cell vectors:
Tm (0.0000, 0.0000, 0.0000)
Ga (0.5000, 0.5000, 0.5000)
Pt (0.7500, 0.7500, 0.7500)

crystal system = cubic
volume = 66.3 Å³/cell
final energy = -5.43 eV per atom
symmetry = F-43m (216)
energy relative to the elements = -919.3 meV/atom



(5)
The following is a PBE calculation of an optimized crystal structure of Tm2GaPt, from Alexandria via LeMat-Bulk.

Cell: 5.8415 4.3851 7.4351 Å, 90.00 111.54 90.00°
Sites, in units of the cell vectors:
Tm (0.1719, 0.2500, 0.4093)
Tm (0.2695, 0.7500, 0.0697)
Tm (0.7305, 0.2500, 0.9303)
Tm (0.8281, 0.7500, 0.5907)
Ga (0.3892, 0.7500, 0.7041)
Ga (0.6108, 0.2500, 0.2959)
Pt (0.1518, 0.2500, 0.7928)
Pt (0.8482, 0.7500, 0.2072)

crystal system = monoclinic
volume = 177.2 Å³/cell
final energy = -5.48 eV per atom
symmetry = P2_1/m (11)
energy relative to the elements = -980.5 meV/atom



(6)
The following is a PBE calculation of an optimized crystal structure of TmGa5Pt7, from Alexandria via LeMat-Bulk.

Cell: 6.8376 6.8376 6.8376 Å, 133.63 97.28 100.56°
Sites, in units of the cell vectors:
Tm (0.0000, 0.0000, 0.0000)
Ga (0.4777, 0.4908, 0.4958)
Ga (0.4777, 0.9819, 0.9869)
Ga (0.7649, 0.2649, 0.5000)
Ga (0.9950, 0.4908, 0.0131)
Ga (0.9950, 0.9819, 0.5042)
Pt (0.1773, 0.4741, 0.7032)
Pt (0.2189, 0.7189, 0.5000)
Pt (0.3362, 0.3362, 0.0000)
Pt (0.3406, 0.0046, 0.3360)
Pt (0.6686, 0.0046, 0.6640)
Pt (0.6715, 0.6715, 0.0000)
Pt (0.7708, 0.4741, 0.2968)

crystal system = orthorhombic
volume = 212.6 Å³/cell
final energy = -5.40 eV per atom
symmetry = Imm2 (44)
energy relative to the elements = -639.9 meV/atom



(7)
The following is a PBE calculation of an optimized crystal structure of Tm4GaPt3, from Alexandria via LeMat-Bulk.

Cell: 3.7286 4.3994 10.6150 Å, 90.00 90.00 90.00°
Sites, in units of the cell vectors:
Tm (0.0000, 0.0000, 0.0000)
Tm (0.0000, 0.5000, 0.2731)
Tm (0.5000, 0.0000, 0.4860)
Tm (0.5000, 0.5000, 0.7746)
Ga (0.0000, 0.0000, 0.7118)
Pt (0.0000, 0.5000, 0.5546)
Pt (0.5000, 0.0000, 0.2216)
Pt (0.5000, 0.5000, 0.0437)

crystal system = orthorhombic
volume = 174.1 Å³/cell
final energy = -6.03 eV per atom
symmetry = Pmm2 (25)
energy relative to the elements = -1153.8 meV/atom



(8)
The following is a PBE calculation of an optimized crystal structure of Tm2Ga6Pt, from Alexandria via LeMat-Bulk.

Cell: 3.6694 11.9510 11.9510 Å, 20.08 90.00 90.00°
Sites, in units of the cell vectors:
Tm (0.0000, 0.0000, 0.0000)
Tm (0.0000, 0.3338, 0.3338)
Ga (0.0000, 0.6281, 0.6281)
Ga (0.0000, 0.7393, 0.7393)
Ga (0.5000, 0.1181, 0.1181)
Ga (0.5000, 0.2272, 0.2272)
Ga (0.5000, 0.4403, 0.4403)
Ga (0.5000, 0.8796, 0.8796)
Pt (0.5000, 0.5477, 0.5477)

crystal system = orthorhombic
volume = 180.0 Å³/cell
final energy = -4.19 eV per atom
symmetry = Amm2 (38)
energy relative to the elements = -509.8 meV/atom



(9)
The following is a PBE calculation of an optimized crystal structure of Tm2Ga3Pt, from Alexandria via LeMat-Bulk.

Cell: 8.8213 8.4132 5.6232 Å, 74.94 67.07 37.99°
Sites, in units of the cell vectors:
Tm (0.2426, 0.7574, 0.7574)
Tm (0.2500, 0.2500, 0.2500)
Tm (0.7500, 0.7500, 0.7500)
Tm (0.7574, 0.2426, 0.2426)
Ga (0.1667, 0.6675, 0.3325)
Ga (0.3325, 0.8333, 0.1667)
Ga (0.3340, 0.3340, 0.6660)
Ga (0.6660, 0.6660, 0.3340)
Ga (0.6675, 0.1667, 0.8333)
Ga (0.8333, 0.3325, 0.6675)
Pt (0.1678, 0.1678, 0.8322)
Pt (0.8322, 0.8322, 0.1678)

crystal system = orthorhombic
volume = 235.8 Å³/cell
final energy = -4.86 eV per atom
symmetry = Fmmm (69)
energy relative to the elements = -854.2 meV/atom



(10)
The following is a PBE calculation of an optimized crystal structure of Tm2GaPt4, from Alexandria via LeMat-Bulk.

Cell: 7.8814 7.8814 7.8814 Å, 145.90 145.90 48.99°
Sites, in units of the cell vectors:
Tm (0.1389, 0.1389, 0.0000)
Tm (0.8611, 0.8611, 0.0000)
Ga (0.5000, 0.5000, 0.0000)
Pt (0.0000, 0.5000, 0.5000)
Pt (0.3264, 0.3264, 0.0000)
Pt (0.5000, 0.0000, 0.5000)
Pt (0.6736, 0.6736, 0.0000)

crystal system = tetragonal
volume = 153.2 Å³/cell
final energy = -5.69 eV per atom
symmetry = I4/mmm (139)
energy relative to the elements = -529.5 meV/atom



(11)
The following is a PBE calculation of an optimized crystal structure of Tm3Ga7Pt4, from Alexandria via LeMat-Bulk.

Cell: 8.1567 8.1567 9.3571 Å, 123.95 123.95 30.23°
Sites, in units of the cell vectors:
Tm (0.0000, 0.0000, 0.0000)
Tm (0.3054, 0.3054, 0.2998)
Tm (0.6946, 0.6946, 0.7002)
Ga (0.0000, 0.0000, 0.5000)
Ga (0.1542, 0.1542, 0.4283)
Ga (0.3204, 0.3204, 0.9675)
Ga (0.4989, 0.4989, 0.7061)
Ga (0.5011, 0.5011, 0.2939)
Ga (0.6796, 0.6796, 0.0325)
Ga (0.8458, 0.8458, 0.5717)
Pt (0.1220, 0.1220, 0.8473)
Pt (0.3428, 0.3428, 0.7210)
Pt (0.6572, 0.6572, 0.2790)
Pt (0.8780, 0.8780, 0.1527)

crystal system = monoclinic
volume = 255.7 Å³/cell
final energy = -5.07 eV per atom
symmetry = C2/m (12)
energy relative to the elements = -875.8 meV/atom



(12)
The following is a PBE calculation of an optimized crystal structure of TmGa3Pt3, from Alexandria via LeMat-Bulk.

Cell: 7.2524 7.2524 7.2524 Å, 56.42 56.42 56.42°
Sites, in units of the cell vectors:
Tm (0.1607, 0.1607, 0.1607)
Tm (0.8393, 0.8393, 0.8393)
Ga (0.0375, 0.2329, 0.5972)
Ga (0.2329, 0.5972, 0.0375)
Ga (0.4028, 0.9625, 0.7671)
Ga (0.5972, 0.0375, 0.2329)
Ga (0.7671, 0.4028, 0.9625)
Ga (0.9625, 0.7671, 0.4028)
Pt (0.1903, 0.4211, 0.6798)
Pt (0.3202, 0.8097, 0.5789)
Pt (0.4211, 0.6798, 0.1903)
Pt (0.5789, 0.3202, 0.8097)
Pt (0.6798, 0.1903, 0.4211)
Pt (0.8097, 0.5789, 0.3202)

crystal system = trigonal
volume = 247.4 Å³/cell
final energy = -5.36 eV per atom
symmetry = R-3 (148)
energy relative to the elements = -831.3 meV/atom



(13)
The following is a PBE calculation of an optimized crystal structure of TmGaPt3, from Alexandria via LeMat-Bulk.

Cell: 4.7054 5.6979 6.7934 Å, 90.00 90.00 90.00°
Sites, in units of the cell vectors:
Tm (0.2500, 0.2500, 0.1683)
Tm (0.7500, 0.7500, 0.8317)
Ga (0.2500, 0.7500, 0.4373)
Ga (0.7500, 0.2500, 0.5627)
Pt (0.2500, 0.0167, 0.7260)
Pt (0.2500, 0.4833, 0.7260)
Pt (0.2500, 0.7500, 0.0796)
Pt (0.7500, 0.2500, 0.9204)
Pt (0.7500, 0.5167, 0.2740)
Pt (0.7500, 0.9833, 0.2740)

crystal system = orthorhombic
volume = 182.1 Å³/cell
final energy = -6.04 eV per atom
symmetry = Pmmn (59)
energy relative to the elements = -916.5 meV/atom



(14)
The following is a PBE calculation of an optimized crystal structure of Tm2GaPt, from Alexandria via LeMat-Bulk.

Cell: 3.5139 3.5139 6.8880 Å, 90.00 90.00 90.00°
Sites, in units of the cell vectors:
Tm (0.0000, 0.0000, 0.2397)
Tm (0.0000, 0.0000, 0.7603)
Ga (0.5000, 0.5000, 0.5000)
Pt (0.5000, 0.5000, 0.0000)

crystal system = tetragonal
volume = 85.0 Å³/cell
final energy = -5.45 eV per atom
symmetry = P4/mmm (123)
energy relative to the elements = -943.3 meV/atom



(15)
The following is a PBE calculation of an optimized crystal structure of Tm2GaPt9, from Alexandria via LeMat-Bulk.

Cell: 4.0582 4.0582 12.0581 Å, 90.00 90.00 90.00°
Sites, in units of the cell vectors:
Tm (0.0000, 0.0000, 0.1704)
Tm (0.0000, 0.0000, 0.8296)
Ga (0.0000, 0.0000, 0.5000)
Pt (0.0000, 0.5000, 0.0000)
Pt (0.0000, 0.5000, 0.3433)
Pt (0.0000, 0.5000, 0.6567)
Pt (0.5000, 0.0000, 0.0000)
Pt (0.5000, 0.0000, 0.3433)
Pt (0.5000, 0.0000, 0.6567)
Pt (0.5000, 0.5000, 0.1724)
Pt (0.5000, 0.5000, 0.5000)
Pt (0.5000, 0.5000, 0.8276)

crystal system = tetragonal
volume = 198.6 Å³/cell
final energy = -6.39 eV per atom
symmetry = P4/mmm (123)
energy relative to the elements = -863.9 meV/atom



(16)
The following is a PBE calculation of an optimized crystal structure of Tm3GaPt2, from Alexandria via LeMat-Bulk.

Cell: 11.5016 4.2599 10.9322 Å, 90.00 90.00 90.00°
Sites, in units of the cell vectors:
Tm (0.0462, 0.2500, 0.1246)
Tm (0.1222, 0.7500, 0.5762)
Tm (0.2015, 0.2500, 0.8215)
Tm (0.2985, 0.7500, 0.3215)
Tm (0.3778, 0.2500, 0.0762)
Tm (0.4538, 0.7500, 0.6246)
Tm (0.5462, 0.2500, 0.3754)
Tm (0.6222, 0.7500, 0.9238)
Tm (0.7015, 0.2500, 0.6785)
Tm (0.7985, 0.7500, 0.1785)
Tm (0.8778, 0.2500, 0.4238)
Tm (0.9538, 0.7500, 0.8754)
Ga (0.1315, 0.2500, 0.3767)
Ga (0.3685, 0.7500, 0.8767)
Ga (0.6315, 0.2500, 0.1233)
Ga (0.8685, 0.7500, 0.6233)
Pt (0.0123, 0.7500, 0.3134)
Pt (0.1785, 0.7500, 0.0019)
Pt (0.3215, 0.2500, 0.5019)
Pt (0.4877, 0.2500, 0.8134)
Pt (0.5123, 0.7500, 0.1866)
Pt (0.6785, 0.7500, 0.4981)
Pt (0.8215, 0.2500, 0.9981)
Pt (0.9877, 0.2500, 0.6866)

crystal system = orthorhombic
volume = 535.6 Å³/cell
final energy = -5.77 eV per atom
symmetry = Pnma (62)
energy relative to the elements = -1013.8 meV/atom



(17)
The following is a PBE calculation of an optimized crystal structure of Tm3Ga4Pt2, from Alexandria via LeMat-Bulk.

Cell: 5.6995 5.6995 8.4175 Å, 111.88 111.88 45.04°
Sites, in units of the cell vectors:
Tm (0.0000, 0.0000, 0.0000)
Tm (0.3181, 0.3181, 0.3591)
Tm (0.6819, 0.6819, 0.6409)
Ga (0.0167, 0.0167, 0.3567)
Ga (0.2575, 0.2575, 0.9179)
Ga (0.7425, 0.7425, 0.0821)
Ga (0.9833, 0.9833, 0.6433)
Pt (0.4009, 0.4009, 0.7323)
Pt (0.5991, 0.5991, 0.2677)

crystal system = monoclinic
volume = 177.0 Å³/cell
final energy = -5.12 eV per atom
symmetry = C2/m (12)
energy relative to the elements = -946.2 meV/atom



(18)
The following is a PBE calculation of an optimized crystal structure of TmGaPt, from Alexandria via LeMat-Bulk.

Cell: 7.0525 4.1700 11.8648 Å, 90.00 90.34 90.00°
Sites, in units of the cell vectors:
Tm (0.0253, 0.2500, 0.1271)
Tm (0.1571, 0.2500, 0.4199)
Tm (0.4655, 0.7500, 0.7925)
Tm (0.5345, 0.2500, 0.2075)
Tm (0.8429, 0.7500, 0.5801)
Tm (0.9747, 0.7500, 0.8729)
Ga (0.1321, 0.2500, 0.7050)
Ga (0.3457, 0.7500, 0.0454)
Ga (0.4952, 0.7500, 0.4148)
Ga (0.5048, 0.2500, 0.5852)
Ga (0.6543, 0.2500, 0.9546)
Ga (0.8679, 0.7500, 0.2950)
Pt (0.2398, 0.7500, 0.2553)
Pt (0.2599, 0.7500, 0.5895)
Pt (0.2659, 0.2500, 0.9246)
Pt (0.7341, 0.7500, 0.0754)
Pt (0.7401, 0.2500, 0.4105)
Pt (0.7602, 0.2500, 0.7447)

crystal system = monoclinic
volume = 348.9 Å³/cell
final energy = -5.61 eV per atom
symmetry = P2_1/m (11)
energy relative to the elements = -1096.6 meV/atom



(19)
The following is a PBE calculation of an optimized crystal structure of TmGa2Pt6, from Alexandria via LeMat-Bulk.

Cell: 3.8301 6.6869 6.6869 Å, 115.11 90.00 90.00°
Sites, in units of the cell vectors:
Tm (0.0000, 0.0000, 0.0000)
Ga (0.5000, 0.5791, 0.8340)
Ga (0.5000, 0.8340, 0.5791)
Pt (0.0000, 0.1415, 0.5265)
Pt (0.0000, 0.5265, 0.1415)
Pt (0.0000, 0.5817, 0.5817)
Pt (0.5000, 0.2274, 0.8638)
Pt (0.5000, 0.2959, 0.2959)
Pt (0.5000, 0.8638, 0.2274)

crystal system = orthorhombic
volume = 155.1 Å³/cell
final energy = -5.77 eV per atom
symmetry = Amm2 (38)
energy relative to the elements = -573.0 meV/atom



(20)
The following is a PBE calculation of an optimized crystal structure of Y2TmGa3Pt4, from Alexandria via LeMat-Bulk.

Cell: 4.1468 4.1468 11.5586 Å, 90.00 90.00 90.00°
Sites, in units of the cell vectors:
Y (0.0000, 0.5000, 0.2282)
Y (0.5000, 0.0000, 0.7718)
Tm (0.0000, 0.0000, 0.5000)
Ga (0.0000, 0.5000, 0.8716)
Ga (0.5000, 0.0000, 0.1284)
Ga (0.5000, 0.5000, 0.5000)
Pt (0.0000, 0.0000, 0.0000)
Pt (0.0000, 0.5000, 0.6574)
Pt (0.5000, 0.0000, 0.3426)
Pt (0.5000, 0.5000, 0.0000)

crystal system = tetragonal
volume = 198.8 Å³/cell
final energy = -6.05 eV per atom
symmetry = P-4m2 (115)
energy relative to the elements = -990.3 meV/atom